LaTaZn4 | PBE-GGA | relaxed

Properties
N(E_F): 3.0 states/eV/cell
Formation energy from the elements: -0.003 eV/atom

Lattice parameters (Å, degrees): 5.370 5.370 5.370 60.00 60.00 60.00
Fractional coordinates of all 6 atoms:
La (0.000, 0.000, 0.000)
Ta (0.750, 0.750, 0.750)
Zn (0.377, 0.377, 0.377)
Zn (0.377, 0.377, 0.870)
Zn (0.377, 0.870, 0.377)
Zn (0.870, 0.377, 0.377)